DFT (PBE) results for a relaxed MgTlBr crystal.

Calculated values
The calculated volume comes out at 34.29 Å³/atom. As for the offset from the most stable computed form: 344 meV per atom. For the formation energy (no corrections), the calculation gives -219 meV/atom. Its crystal system is cubic.

Unit cell a=7.4378 b=7.4378 c=7.4378 alpha=90.00 beta=90.00 gamma=90.00
Space group F-43m (No. 216)
Unique sites:
1 Mg 0.0000 0.0000 0.0000 x4
2 Tl 0.2500 0.2500 0.2500 x4
3 Br 0.2500 0.2500 0.7500 x4



DFT (PBE) results for a relaxed Ce5Pu2Ge4 crystal.

Calculated values
The calculated volume comes out at 24.58 Å³/atom. Its crystal system is monoclinic. Its formation energy is -0.262 eV/atom.

Unit cell a=19.6629 b=3.9024 c=7.0523 alpha=90.00 beta=92.20 gamma=90.00
Space group C2/m (No. 12)
Unique sites:
1 Ce 0.0000 0.0000 0.0000 x2
2 Ce 0.1383 0.5000 0.6907 x4
3 Ce 0.1910 0.5000 0.1645 x4
4 Pu 0.2423 0.0000 0.4099 x4
5 Ge 0.0197 0.5000 0.3274 x4
6 Ge 0.0981 0.0000 0.3749 x4



DFT (PBE) results for a relaxed VZn crystal.

Calculated values
The calculated volume comes out at 16.08 Å³/atom. Its crystal system is orthorhombic. Its formation energy is 0.289 eV/atom.

Unit cell a=11.2540 b=2.6501 c=6.4682 alpha=90.00 beta=90.00 gamma=90.00
Space group Pmn2_1 (No. 31)
Unique sites:
1 V 0.0000 0.1761 0.0000 x2
2 V 0.1038 0.9424 0.2993 x4
3 Zn 0.0000 0.5316 0.6301 x2
4 Zn 0.2191 0.5496 0.9825 x4



DFT (PBE) results for a relaxed LiHfInGa crystal.

Calculated values
The calculated volume comes out at 18.37 Å³/atom. Its crystal system is tetragonal. Its formation energy is -0.289 eV/atom.

Unit cell a=3.1850 b=3.1850 c=7.2428 alpha=90.00 beta=90.00 gamma=90.00
Space group P4mm (No. 99)
Unique sites:
1 Li 0.0000 0.0000 0.0000 x1
2 Hf 0.0000 0.0000 0.5434 x1
3 In 0.5000 0.5000 0.2437 x1
4 Ga 0.5000 0.5000 0.7973 x1



DFT (PBE) results for a relaxed CrCd3Fe crystal.

Calculated values
The calculated volume comes out at 27.11 Å³/atom. As for the offset from the most stable computed form: 0 meV per atom. Its crystal system is cubic. Its formation energy is 1.205 eV/atom.

Unit cell a=5.1368 b=5.1368 c=5.1368 alpha=90.00 beta=90.00 gamma=90.00
Space group Pm-3m (No. 221)
Unique sites:
1 Cr 0.0000 0.0000 0.0000 x1
2 Cd 0.0000 0.0000 0.5000 x3
3 Fe 0.5000 0.5000 0.5000 x1



DFT (PBE) results for a relaxed Y3Lu crystal.

Calculated values
The calculated volume comes out at 31.48 Å³/atom. As for the offset from the most stable computed form: 31 meV per atom. Its crystal system is cubic. Its formation energy is 0.031 eV/atom.

Unit cell a=5.0122 b=5.0122 c=5.0122 alpha=90.00 beta=90.00 gamma=90.00
Space group Pm-3m (No. 221)
Unique sites:
1 Y 0.0000 0.0000 0.5000 x3
2 Lu 0.5000 0.5000 0.5000 x1



DFT (PBE) results for a relaxed TmIF crystal.

Calculated values
The calculated volume comes out at 34.32 Å³/atom. For the formation energy (no corrections), the calculation gives -2101 meV/atom. Its crystal system is trigonal.

Unit cell a=7.3512 b=7.3512 c=6.5994 alpha=90.00 beta=90.00 gamma=120.00
Space group P3_2 (No. 145)
Unique sites:
1 Tm 0.1302 0.4621 0.0000 x3
2 I 0.3326 0.2932 0.3339 x3
3 F 0.0556 0.6641 0.1673 x3



DFT (PBE) results for a relaxed Ho2MgHg8 crystal.

Calculated values
The calculated volume comes out at 24.52 Å³/atom. As for the offset from the most stable computed form: 0 meV per atom. Its crystal system is tetragonal. Its formation energy is -0.253 eV/atom.

Unit cell a=4.5760 b=4.5760 c=12.8817 alpha=90.00 beta=90.00 gamma=90.00
Space group P4/mmm (No. 123)
Unique sites:
1 Ho 0.0000 0.0000 0.1857 x2
2 Mg 0.0000 0.0000 0.5000 x1
3 Hg 0.0000 0.5000 0.0000 x2
4 Hg 0.0000 0.5000 0.3624 x4
5 Hg 0.5000 0.5000 0.1805 x2



DFT (PBE) results for a relaxed Ac3PuGe6 crystal.

Calculated values
The calculated volume comes out at 26.85 Å³/atom. Its crystal system is trigonal. Its formation energy is -0.540 eV/atom.

Unit cell a=12.4134 b=12.4134 c=12.0710 alpha=90.00 beta=90.00 gamma=120.00
Space group R-3c (No. 167, hexagonal axes)
Unique sites:
1 Ac 0.0000 0.4359 0.2500 x18
2 Pu 0.0000 0.0000 0.0000 x6
3 Ge 0.0699 0.2176 0.3383 x36



DFT (PBE) results for a relaxed Ca2HoTaN4 crystal.

Calculated values
The calculated volume comes out at 13.49 Å³/atom. For the formation energy (no corrections), the calculation gives -1332 meV/atom. Its crystal system is monoclinic.

Unit cell a=5.8046 b=3.3174 c=5.9230 alpha=90.00 beta=108.89 gamma=90.00
Space group P2/m (No. 10)
Unique sites:
1 Ca 0.0000 0.0000 0.0000 x1
2 Ca 0.5000 0.5000 0.0000 x1
3 Ho 0.0000 0.5000 0.5000 x1
4 Ta 0.5000 0.0000 0.5000 x1
5 N 0.2679 0.0000 0.7143 x2
6 N 0.2807 0.5000 0.2866 x2



DFT (PBE) results for a relaxed SmMgZnAu crystal.

Calculated values
The calculated volume comes out at 21.26 Å³/atom. Its crystal system is cubic. Its formation energy is -0.553 eV/atom.

Unit cell a=6.9806 b=6.9806 c=6.9806 alpha=90.00 beta=90.00 gamma=90.00
Space group F-43m (No. 216)
Unique sites:
1 Sm 0.0000 0.0000 0.0000 x4
2 Mg 0.0000 0.0000 0.5000 x4
3 Zn 0.2500 0.2500 0.7500 x4
4 Au 0.2500 0.2500 0.2500 x4



DFT (PBE) results for a relaxed BaSc3 crystal.

Calculated values
The calculated volume comes out at 29.99 Å³/atom. As for the offset from the most stable computed form: 195 meV per atom. Its crystal system is trigonal. Its formation energy is 0.430 eV/atom.

Unit cell a=11.1792 b=11.1792 c=3.3247 alpha=90.00 beta=90.00 gamma=120.00
Space group R-3m (No. 166, hexagonal axes)
Unique sites:
1 Ba 0.0000 0.0000 0.0000 x3
2 Sc 0.0000 0.5000 0.0000 x9



DFT (PBE) results for a relaxed PmHo4Er2Sc crystal.

Calculated values
The calculated volume comes out at 31.72 Å³/atom. Its crystal system is monoclinic. Its formation energy is 0.448 eV/atom.

Unit cell a=13.3793 b=13.0798 c=6.7024 alpha=90.00 beta=120.06 gamma=90.00
Space group C2/c (No. 15)
Unique sites:
1 Pm 0.0000 0.0000 0.0000 x4
2 Ho 0.9997 0.2524 0.0056 x8
3 Ho 0.2482 0.4923 0.4970 x8
4 Er 0.0000 0.5000 0.0000 x4
5 Er 0.2500 0.2500 0.0000 x4
6 Sc 0.2500 0.2500 0.5000 x4



DFT (PBE) results for a relaxed Zr2CrOs crystal.

Calculated values
The calculated volume comes out at 17.64 Å³/atom. Its crystal system is tetragonal. Its formation energy is -0.190 eV/atom.

Unit cell a=4.6552 b=4.6552 c=3.2552 alpha=90.00 beta=90.00 gamma=90.00
Space group P4/mmm (No. 123)
Unique sites:
1 Zr 0.0000 0.5000 0.0000 x2
2 Cr 0.0000 0.0000 0.5000 x1
3 Os 0.5000 0.5000 0.5000 x1



DFT (PBE) results for a relaxed CdGaI2O crystal.

Calculated values
The calculated volume comes out at 25.32 Å³/atom. As for the offset from the most stable computed form: 0 meV per atom. For the formation energy (no corrections), the calculation gives -425 meV/atom. Its crystal system is tetragonal.

Unit cell a=5.8558 b=5.8558 c=3.6927 alpha=90.00 beta=90.00 gamma=90.00
Space group P4/mmm (No. 123)
Unique sites:
1 Cd 0.0000 0.0000 0.0000 x1
2 Ga 0.5000 0.5000 0.5000 x1
3 I 0.0000 0.5000 0.5000 x2
4 O 0.5000 0.5000 0.0000 x1



DFT (PBE) results for a relaxed Na2AlP crystal.

Calculated values
The calculated volume comes out at 21.24 Å³/atom. As for the offset from the most stable computed form: 0 meV per atom. Its crystal system is cubic. Its formation energy is 0.113 eV/atom.

Unit cell a=6.9788 b=6.9788 c=6.9788 alpha=90.00 beta=90.00 gamma=90.00
Space group Fm-3m (No. 225)
Unique sites:
1 Na 0.2500 0.2500 0.2500 x8
2 Al 0.0000 0.0000 0.0000 x4
3 P 0.0000 0.0000 0.5000 x4



DFT (PBE) results for a relaxed Li2TmAg2Hg2 crystal.

Calculated values
The calculated volume comes out at 20.03 Å³/atom. Its crystal system is trigonal. Its formation energy is -0.252 eV/atom.

Unit cell a=4.7666 b=4.7666 c=21.3724 alpha=90.00 beta=90.00 gamma=120.00
Space group R-3m (No. 166, hexagonal axes)
Unique sites:
1 Li 0.0000 0.0000 0.1464 x6
2 Tm 0.0000 0.0000 0.0000 x3
3 Ag 0.0000 0.0000 0.4310 x6
4 Hg 0.0000 0.0000 0.2707 x6



DFT (PBE) results for a relaxed Y2TcPt crystal.

Calculated values
The calculated volume comes out at 22.19 Å³/atom. Its crystal system is tetragonal. Its formation energy is -0.193 eV/atom.

Unit cell a=3.8449 b=3.8449 c=6.0031 alpha=90.00 beta=90.00 gamma=90.00
Space group P4mm (No. 99)
Unique sites:
1 Y 0.0000 0.0000 0.0000 x1
2 Y 0.5000 0.5000 0.3686 x1
3 Tc 0.5000 0.5000 0.8440 x1
4 Pt 0.0000 0.0000 0.5197 x1



DFT (PBE) results for a relaxed Mg2AlTlN crystal.

Calculated values
The calculated volume comes out at 16.52 Å³/atom. For the formation energy (no corrections), the calculation gives -211 meV/atom. Its crystal system is tetragonal.

Unit cell a=4.6683 b=4.6683 c=3.7905 alpha=90.00 beta=90.00 gamma=90.00
Space group P4/mmm (No. 123)
Unique sites:
1 Mg 0.0000 0.5000 0.0000 x2
2 Al 0.0000 0.0000 0.5000 x1
3 Tl 0.5000 0.5000 0.5000 x1
4 N 0.0000 0.0000 0.0000 x1



DFT (PBE) results for a relaxed Ba2GaReSn crystal.

Calculated values
The calculated volume comes out at 44.96 Å³/atom. Its crystal system is tetragonal. Its formation energy is 1.140 eV/atom.

Unit cell a=6.6060 b=6.6060 c=5.1510 alpha=90.00 beta=90.00 gamma=90.00
Space group P4/mmm (No. 123)
Unique sites:
1 Ba 0.0000 0.5000 0.0000 x2
2 Ga 0.0000 0.0000 0.5000 x1
3 Re 0.5000 0.5000 0.5000 x1
4 Sn 0.0000 0.0000 0.0000 x1